First-principles (PBE) data for a geometry-optimized DyPaSi3 structure, as listed in Alexandria via LeMat-Bulk.

Values from the calculation:
DOS(E_F) (states/eV/atom): 0.94
Total magnetic moment (μB per formula unit): 0.0
Energy relative to the elements, uncorrected (eV per formula unit): -3.14
Space group: No. 63
Uncorrected energy (eV for the cell shown): -67.007

a = 12.3895 Å, b = 12.3895 Å, c = 3.9732 Å
α = 90.00°, β = 90.00°, γ = 161.06°
Positions (direct):
Dy 0.2029 0.7971 0.7500
Dy 0.7971 0.2029 0.2500
Pa 0.0700 0.9300 0.2500
Pa 0.9300 0.0700 0.7500
Si 0.3251 0.6749 0.7500
Si 0.3821 0.6179 0.2500
Si 0.4757 0.5243 0.2500
Si 0.5243 0.4757 0.7500
Si 0.6179 0.3821 0.7500
Si 0.6749 0.3251 0.2500